First-principles (PBE) data for a relaxed PrEr2Cd crystal, as listed in Alexandria via LeMat-Bulk.

Lattice parameters (Å, degrees): 3.7824 5.5374 11.4389 90.00 90.00 90.00
Fractional coordinates of all 8 atoms:
Pr1 0.0000 0.0000 0.0000
Pr2 0.5000 0.5000 0.5000
Er1 0.0000 0.5000 0.2240
Er2 0.0000 0.5000 0.7760
Er3 0.5000 0.0000 0.2760
Er4 0.5000 0.0000 0.7240
Cd1 0.0000 0.0000 0.5000
Cd2 0.5000 0.5000 0.0000

Computed properties:
- distance to the lowest polymorph of the same formula (eV/atom) = 0.0053
- total energy (eV/f.u.) = -15.4
- ΔE_f (eV per atom) = -0.144



First-principles (PBE) data for a relaxed PrErCd crystal, as listed in Alexandria via LeMat-Bulk.

Lattice parameters (Å, degrees): 5.2170 5.2170 7.4043 90.00 90.00 90.00
Fractional coordinates of all 6 atoms:
Pr1 0.0000 0.0000 0.0000
Pr2 0.5000 0.5000 0.5000
Er1 0.0000 0.0000 0.5000
Er2 0.5000 0.5000 0.0000
Cd1 0.0000 0.5000 0.2500
Cd2 0.5000 0.0000 0.7500

Computed properties:
- distance to the lowest polymorph of the same formula (eV/atom) = 0.2847
- total energy (eV/f.u.) = -10.0
- ΔE_f (eV per atom) = 0.092



First-principles (PBE) data for a relaxed PrEr6Cd2 crystal, as listed in Alexandria via LeMat-Bulk.

Lattice parameters (Å, degrees): 6.5658 6.5658 11.8463 107.27 107.27 32.85
Fractional coordinates of all 9 atoms:
Pr1 0.0000 0.0000 0.0000
Er1 0.0137 0.0137 0.3433
Er2 0.3131 0.3131 0.4186
Er3 0.3154 0.3154 0.1250
Er4 0.6846 0.6846 0.8750
Er5 0.6869 0.6869 0.5814
Er6 0.9863 0.9863 0.6567
Cd1 0.3489 0.3489 0.7800
Cd2 0.6511 0.6511 0.2200

Computed properties:
- total energy (eV/f.u.) = -35.1
- ΔE_f (eV per atom) = -0.122